No. 1
Material: LaZr2Sc
Method: DFT, PBE-GGA
State: relaxed

a = 8.1700 Å, b = 8.1700 Å, c = 6.5842 Å
α = 51.65°, β = 51.65°, γ = 90.00°
Element x y z (fractional)
Sc (0.5000, 0.5000, 0.0000)
Sc (0.2500, 0.7500, 0.5000)
Zr (0.6147, 0.1250, 0.2500)
Zr (0.1353, 0.6250, 0.2500)
Zr (0.3750, 0.3853, 0.7500)
Zr (0.8750, 0.8647, 0.7500)
La (0.0000, 0.0000, 0.0000)
La (0.7500, 0.2500, 0.5000)

Values from the calculation:
calculated total energy = -52.20 eV per cell
Fermi-level density of states = 14.44 states/eV/cell
ΔE to the lowest computed polymorph = 465.7 meV/atom
E_form = 0.563 eV/atom
crystal system = tetragonal

No. 2
Material: SrCuIr3
Method: DFT, PBE-GGA
State: relaxed

a = 4.6335 Å, b = 4.6335 Å, c = 4.6335 Å
α = 90.00°, β = 90.00°, γ = 90.00°
Element x y z (fractional)
Sr (0.5000, 0.5000, 0.5000)
Ir (0.0000, 0.5000, 0.0000)
Ir (0.0000, 0.0000, 0.5000)
Ir (0.5000, 0.0000, 0.0000)
Cu (0.0000, 0.0000, 0.0000)

Values from the calculation:
calculated total energy = -27.78 eV per cell
Fermi-level density of states = 6.05 states/eV/cell
ΔE to the lowest computed polymorph = 0.0 meV/atom
E_form = 0.916 eV/atom
crystal system = cubic

No. 3
Material: Ba2AlTl
Method: DFT, PBE-GGA
State: relaxed

a = 6.4925 Å, b = 6.4925 Å, c = 6.4925 Å
α = 132.73°, β = 132.73°, γ = 69.08°
Element x y z (fractional)
Tl (0.5000, 0.5000, 0.0000)
Ba (0.0000, 0.0000, 0.0000)
Ba (0.2500, 0.7500, 0.5000)
Al (0.7500, 0.2500, 0.5000)

Values from the calculation:
calculated total energy = -10.20 eV per cell
Fermi-level density of states = 3.99 states/eV/cell
ΔE to the lowest computed polymorph = 154.9 meV/atom
E_form = -0.062 eV/atom
crystal system = tetragonal

No. 4
Material: CrInPb2
Method: DFT, PBE-GGA
State: relaxed

a = 5.7180 Å, b = 5.7180 Å, c = 5.7180 Å
α = 131.00°, β = 131.00°, γ = 71.81°
Site moments in Bohr magnetons follow the coordinates.
Element x y z (fractional)
Cr (0.2500, 0.7500, 0.5000)  3.90
In (0.7500, 0.2500, 0.5000)  -0.02
Pb (0.0000, 0.0000, 0.0000)  -0.03
Pb (0.5000, 0.5000, 0.0000)  -0.03

Values from the calculation:
calculated total energy = -18.31 eV per cell
Fermi-level density of states = 1.84 states/eV/cell
E_form = 0.368 eV/atom
crystal system = tetragonal

No. 5
Material: LiSiAg
Method: DFT, PBE-GGA
State: relaxed

a = 6.1566 Å, b = 5.0280 Å, c = 7.4545 Å
α = 90.00°, β = 113.71°, γ = 90.00°
Element x y z (fractional)
Li (0.2751, 0.8987, 0.1284)
Li (0.7751, 0.6013, 0.6284)
Li (0.7249, 0.1013, 0.8716)
Li (0.2249, 0.3987, 0.3716)
Si (0.1510, 0.4088, 0.9696)
Si (0.8490, 0.5912, 0.0304)
Si (0.3490, 0.9088, 0.5304)
Si (0.6510, 0.0912, 0.4696)
Ag (0.5916, 0.4059, 0.1988)
Ag (0.4084, 0.5941, 0.8012)
Ag (0.0916, 0.0941, 0.6988)
Ag (0.9084, 0.9059, 0.3012)

Values from the calculation:
raw formation energy = -0.09 eV per atom
calculated total energy = -41.84 eV per cell
Fermi-level density of states = 3.70 states/eV/cell
ΔE to the lowest computed polymorph = 11.1 meV/atom
crystal system = monoclinic

No. 6
Material: LaTb3Co
Method: DFT, PBE-GGA
State: relaxed

a = 5.3459 Å, b = 5.3459 Å, c = 5.3459 Å
α = 90.00°, β = 90.00°, γ = 90.00°
Site moments in Bohr magnetons follow the coordinates.
Element x y z (fractional)
Co (0.0000, 0.0000, 0.0000)  0.07
Tb (0.0000, 0.5000, 0.0000)  0.07
Tb (0.0000, 0.0000, 0.5000)  0.07
Tb (0.5000, 0.0000, 0.0000)  0.07
La (0.5000, 0.5000, 0.5000)  0.14

Values from the calculation:
calculated total energy = -26.00 eV per cell
Fermi-level density of states = 9.07 states/eV/cell
ΔE to the lowest computed polymorph = 87.1 meV/atom
E_form = -0.016 eV/atom
crystal system = cubic

No. 7
Material: CsPm2I7
Method: DFT, PBE-GGA
State: relaxed

a = 6.1806 Å, b = 16.0047 Å, c = 10.7123 Å
α = 138.33°, β = 90.00°, γ = 90.00°
Element x y z (fractional)
Cs (0.0000, 0.0000, 0.0000)
Pm (0.5000, 0.2805, 0.5610)
Pm (0.5000, 0.7195, 0.4390)
I (0.0000, 0.2999, 0.5999)
I (0.0000, 0.7001, 0.4001)
I (0.5000, 0.2891, 0.2969)
I (0.5000, 0.7109, 0.7031)
I (0.5000, 0.9921, 0.7031)
I (0.5000, 0.0079, 0.2969)
I (0.5000, 0.5000, 0.0000)

Values from the calculation:
raw formation energy = -1.33 eV per atom
calculated total energy = -34.52 eV per cell
Fermi-level density of states = 0.00 states/eV/cell
ΔE to the lowest computed polymorph = 75.9 meV/atom
crystal system = orthorhombic

No. 8
Material: Ni2Bi2Br
Method: DFT, PBE-GGA
State: relaxed

a = 4.8224 Å, b = 4.8224 Å, c = 6.0268 Å
α = 66.42°, β = 66.42°, γ = 90.00°
Element x y z (fractional)
Ni (0.3810, 0.3810, 0.2381)
Ni (0.6190, 0.6190, 0.7619)
Bi (0.7500, 0.2500, 0.5000)
Bi (0.2500, 0.7500, 0.5000)
Br (0.0000, 0.0000, 0.0000)

Values from the calculation:
raw formation energy = 0.30 eV per atom
calculated total energy = -19.50 eV per cell
Fermi-level density of states = 4.54 states/eV/cell
ΔE to the lowest computed polymorph = 139.7 meV/atom
crystal system = tetragonal